(1)
Ce3Bi5S12 (PBE, relaxed); SG = No. 230; N(E_F) = 20.79 states/eV/f.u.; formation energy (no corrections) = -1604 kJ/mol of formula units
1.0
-0.041 -2.248 14.191
-12.361 -4.686 -5.627
10.972 -7.120 -5.945
Ce Bi S
12 20 48
direct
0.125 0.250 0.875
0.250 0.625 0.875
0.625 0.375 0.750
0.625 0.250 0.375
0.750 0.875 0.625
0.875 0.125 0.250
0.250 0.125 0.375
0.750 0.375 0.125
0.125 0.875 0.750
0.875 0.750 0.125
0.375 0.750 0.625
0.375 0.625 0.250
0.500 0.500 0.000
0.125 0.375 0.250
0.250 0.875 0.125
0.625 0.875 0.250
0.125 0.750 0.375
0.875 0.250 0.625
0.500 0.000 0.500
0.000 0.000 0.000
0.750 0.125 0.875
0.375 0.250 0.125
0.625 0.750 0.875
0.375 0.125 0.750
0.000 0.500 0.000
0.000 0.500 0.500
0.750 0.625 0.375
0.875 0.625 0.750
0.000 0.000 0.500
0.500 0.000 0.000
0.250 0.375 0.625
0.500 0.500 0.500
0.053 0.638 0.723
0.585 0.947 0.670
0.053 0.415 0.830
0.170 0.085 0.723
0.638 0.053 0.223
0.777 0.330 0.915
0.085 0.170 0.223
0.670 0.223 0.585
0.415 0.277 0.330
0.138 0.415 0.085
0.415 0.138 0.585
0.723 0.585 0.170
0.947 0.362 0.277
0.915 0.085 0.862
0.830 0.915 0.277
0.723 0.138 0.053
0.277 0.415 0.830
0.947 0.585 0.170
0.915 0.830 0.553
0.553 0.330 0.915
0.862 0.277 0.447
0.447 0.670 0.085
0.085 0.170 0.447
0.085 0.915 0.138
0.585 0.723 0.670
0.170 0.085 0.947
0.415 0.053 0.330
0.415 0.362 0.585
0.223 0.553 0.638
0.638 0.585 0.915
0.138 0.723 0.553
0.585 0.638 0.415
0.915 0.830 0.777
0.915 0.085 0.638
0.223 0.670 0.085
0.277 0.862 0.947
0.553 0.223 0.138
0.362 0.947 0.777
0.447 0.777 0.862
0.330 0.553 0.415
0.670 0.447 0.585
0.085 0.915 0.362
0.330 0.777 0.415
0.777 0.447 0.362
0.585 0.862 0.415
0.862 0.585 0.915
0.830 0.915 0.053
0.362 0.415 0.085

(2)
ZrTaBiO6 (PBE, relaxed); SG = No. 163; N(E_F) = 0.00 states/eV/f.u.; formation energy (no corrections) = -2222 kJ/mol of formula units
1.0
5.469 0.000 0.000
-2.735 4.737 0.000
0.000 0.000 9.880
Bi Ta O Zr
2 2 12 2
direct
0.000 0.000 0.000
0.000 0.000 0.500
0.333 0.667 0.250
0.667 0.333 0.750
0.630 0.646 0.139
0.016 0.646 0.361
0.354 0.984 0.139
0.984 0.354 0.639
0.646 0.016 0.861
0.370 0.354 0.861
0.354 0.370 0.361
0.646 0.630 0.639
0.630 0.984 0.361
0.984 0.630 0.861
0.370 0.016 0.639
0.016 0.370 0.139
0.667 0.333 0.250
0.333 0.667 0.750

(3)
Zr2Te2As (PBE, relaxed); SG = No. 127; N(E_F) = 3.49 states/eV/f.u.; formation energy (no corrections) = -325 kJ/mol of formula units
1.0
7.702 0.000 0.000
0.000 7.702 0.000
0.000 0.000 3.961
Te As Zr
4 2 4
direct
0.355 0.145 0.500
0.145 0.645 0.500
0.645 0.855 0.500
0.855 0.355 0.500
0.000 0.000 0.000
0.500 0.500 0.000
0.348 0.848 0.000
0.152 0.348 0.000
0.848 0.652 0.000
0.652 0.152 0.000